FeCuMoHSe (GGA-PBE, relaxed); total energy = -29.4 eV/f.u.; SG = No. 160
1.0
-1.600 -2.064 -1.362
2.901 0.169 -0.480
4.007 -15.493 18.775
Se Mo Cu H Fe
3 3 3 3 3
direct
0.333 0.667 0.408
0.000 0.000 0.741
0.667 0.333 0.074
0.000 0.000 0.887
0.667 0.333 0.220
0.333 0.667 0.554
0.333 0.667 0.309
0.000 0.000 0.643
0.667 0.333 0.976
0.333 0.667 0.927
0.667 0.333 0.594
0.000 0.000 0.260
0.333 0.667 0.137
0.667 0.333 0.804
0.000 0.000 0.470